1.
VASP calculation (PBE) on La2PmPr5 after structural relaxation.

## Properties
As for the space group: Pbam (55). Its theoretical density is 6.47 g cm⁻³. For the total energy, the calculation gives -4.802 eV/atom. The formation energy from the elements is 11 meV/atom.

a = 5.2694 Å, b = 7.4107 Å, c = 14.8254 Å
α = 90.00°, β = 90.00°, γ = 90.00°
Atoms (fractional coordinates):
La  0.5000  0.2488  0.6247
La  0.5000  0.7512  0.3753
La  0.5000  0.2512  0.1247
La  0.5000  0.7488  0.8753
Pm  0.0000  0.0000  0.5000
Pm  0.0000  0.5000  0.0000
Pr  0.0000  0.0000  0.0000
Pr  0.0000  0.5000  0.5000
Pr  0.0000  0.4988  0.7506
Pr  0.0000  0.5012  0.2494
Pr  0.0000  0.0012  0.2506
Pr  0.0000  0.9988  0.7494
Pr  0.5000  0.2495  0.8755
Pr  0.5000  0.7505  0.1245
Pr  0.5000  0.2505  0.3755
Pr  0.5000  0.7495  0.6245


2.
VASP calculation (PBE) on La2Pm5Pr2 after structural relaxation.

## Properties
As for the space group: Ima2 (46). Its theoretical density is 6.62 g cm⁻³. For the total energy, the calculation gives -4.628 eV/atom. The formation energy from the elements is 169 meV/atom.

a = 12.2057 Å, b = 6.9178 Å, c = 10.3629 Å
α = 109.50°, β = 126.08°, γ = 90.00°
Atoms (fractional coordinates):
La  0.1294  0.6858  0.2510
La  0.8706  0.4349  0.7490
La  0.6215  0.1858  0.2510
La  0.3785  0.9349  0.7490
Pm  0.2005  0.6525  0.8927
Pm  0.7995  0.7598  0.1073
Pm  0.1922  0.1525  0.8927
Pm  0.8078  0.2598  0.1073
Pm  0.3742  0.0291  0.2860
Pm  0.6258  0.7432  0.7140
Pm  0.4117  0.5291  0.2860
Pm  0.5883  0.2432  0.7140
Pm  0.0151  0.6640  0.5000
Pm  0.9849  0.1640  0.5000
Pr  0.0000  0.0239  0.0000
Pr  0.5000  0.5239  0.0000
Pr  0.2537  0.3428  0.5000
Pr  0.7463  0.8428  0.5000


3.
VASP calculation (PBE) on La6Pm5Pr2 after structural relaxation.

## Properties
As for the space group: Pbam (55). Its theoretical density is 6.46 g cm⁻³. For the total energy, the calculation gives -4.743 eV/atom. The formation energy from the elements is 94 meV/atom.

a = 3.7017 Å, b = 12.0777 Å, c = 21.1716 Å
α = 90.00°, β = 90.00°, γ = 90.00°
Atoms (fractional coordinates):
La  0.0000  0.0787  0.3654
La  0.0000  0.9213  0.6346
La  0.0000  0.5787  0.1346
La  0.0000  0.4213  0.8654
La  0.5000  0.3202  0.1298
La  0.5000  0.6798  0.8702
La  0.5000  0.8202  0.3702
La  0.5000  0.1798  0.6298
La  0.0000  0.5594  0.4226
La  0.0000  0.4406  0.5774
La  0.0000  0.0594  0.0774
La  0.0000  0.9406  0.9226
Pm  0.5000  0.3002  0.4436
Pm  0.5000  0.6998  0.5564
Pm  0.5000  0.8002  0.0564
Pm  0.5000  0.1998  0.9436
Pm  0.5000  0.5896  0.2772
Pm  0.5000  0.4104  0.7228
Pm  0.5000  0.0896  0.2228
Pm  0.5000  0.9104  0.7772
Pm  0.5000  0.5000  0.0000
Pm  0.5000  0.0000  0.5000
Pr  0.0000  0.3310  0.2845
Pr  0.0000  0.6690  0.7155
Pr  0.0000  0.8310  0.2155
Pr  0.0000  0.1690  0.7845


4.
VASP calculation (PBE) on La5Pm4Pr3 after structural relaxation.

## Properties
As for the space group: P-1 (2). Its theoretical density is 6.53 g cm⁻³. For the total energy, the calculation gives -4.817 eV/atom. The formation energy from the elements is 15 meV/atom.

a = 7.3868 Å, b = 11.7430 Å, c = 13.3838 Å
α = 151.33°, β = 56.34°, γ = 129.24°
Atoms (fractional coordinates):
La  0.3342  0.6676  0.8329
La  0.5000  0.0000  0.5000
La  0.7488  0.5002  0.0000
La  0.2512  0.4998  0.0000
La  0.6658  0.3324  0.1671
Pm  0.9174  0.8330  0.6673
Pm  0.8351  0.6692  0.8342
Pm  0.1649  0.3308  0.1658
Pm  0.0826  0.1670  0.3327
Pr  0.5868  0.1675  0.3327
Pr  0.0000  0.0000  0.5000
Pr  0.4132  0.8325  0.6673